Entry 1:
## BeTlRe (PBE-GGA)

Data for an optimized crystal structure of BeTlRe.

## Properties
crystal system: cubic
spin magnetization: 0.0000 μB per atom
space-group type: F-43m, No. 216
polymorph energy (0 for the lowest one): 388.5 meV/atom

a = 4.0935 Å, b = 4.0935 Å, c = 4.0935 Å
α = 60.00°, β = 60.00°, γ = 60.00°
Fractional positions:
Be 0.0000 0.0000 0.0000
Tl 0.2500 0.2500 0.2500
Re 0.7500 0.7500 0.7500


Entry 2:
## BeTlRe2 (PBE-GGA)

Data for an optimized crystal structure of BeTlRe2.

## Properties
crystal system: monoclinic
spin magnetization: 0.0000 μB per atom
space-group type: P2/m, No. 10
polymorph energy (0 for the lowest one): 446.1 meV/atom

a = 3.1541 Å, b = 4.4360 Å, c = 5.0195 Å
α = 90.00°, β = 93.52°, γ = 90.00°
Fractional positions:
Be 0.0000 0.0000 0.0000
Tl 0.5000 0.0000 0.5000
Re 0.2769 0.5000 0.1808
Re 0.7231 0.5000 0.8192


Entry 3:
## BeTlRe2 (PBE-GGA)

Data for an optimized crystal structure of BeTlRe2.

## Properties
crystal system: cubic
spin magnetization: 0.0000 μB per atom
space-group type: Fm-3m, No. 225
polymorph energy (0 for the lowest one): 805.4 meV/atom

a = 4.4231 Å, b = 4.4231 Å, c = 4.4231 Å
α = 60.00°, β = 60.00°, γ = 60.00°
Fractional positions:
Be 0.0000 0.0000 0.0000
Tl 0.5000 0.5000 0.5000
Re 0.2500 0.2500 0.2500
Re 0.7500 0.7500 0.7500